--- P ---
Density functional theory data (GGA-PBE) for a relaxed structure of Li3CdPd4.

Geometry as CIF:
```
data_Li3CdPd4
_chemical_formula_sum 'Li3 Cd1 Pd4'
_space_group_name_H-M_alt 'P 1'
_space_group_IT_number 1
_cell_length_a 5.746
_cell_length_b 5.746
_cell_length_c 5.746
_cell_angle_alpha 127.52
_cell_angle_beta 104.83
_cell_angle_gamma 97.75
loop_
_space_group_symop_operation_xyz
'x,y,z'
loop_
_atom_site_label
_atom_site_fract_x
_atom_site_fract_y
_atom_site_fract_z
_atom_site_occupancy
Li1 0.000 0.000 0.000 1
Li2 0.080 0.274 0.806 1
Li3 0.469 0.274 0.194 1
Cd1 0.405 0.905 0.500 1
Pd1 0.268 0.578 0.690 1
Pd2 0.730 0.480 0.750 1
Pd3 0.730 0.980 0.250 1
Pd4 0.889 0.578 0.310 1
```

---

--- Q ---
Density functional theory data (GGA-PBE) for a relaxed structure of Li3CdPd4.

Geometry as CIF:
```
data_Li3CdPd4
_chemical_formula_sum 'Li3 Cd1 Pd4'
_space_group_name_H-M_alt 'P 1'
_space_group_IT_number 1
_cell_length_a 4.317
_cell_length_b 4.317
_cell_length_c 6.321
_cell_angle_alpha 90.00
_cell_angle_beta 90.00
_cell_angle_gamma 90.00
loop_
_space_group_symop_operation_xyz
'x,y,z'
loop_
_atom_site_label
_atom_site_fract_x
_atom_site_fract_y
_atom_site_fract_z
_atom_site_occupancy
Li1 0.000 0.000 0.000 1
Li2 0.000 0.000 0.500 1
Li3 0.500 0.500 0.000 1
Cd1 0.500 0.500 0.500 1
Pd1 0.000 0.500 0.230 1
Pd2 0.000 0.500 0.770 1
Pd3 0.500 0.000 0.230 1
Pd4 0.500 0.000 0.770 1
```

---

Of them, P has the lowest stability.

---

--- P ---
Density functional theory data (GGA-PBE) for a relaxed structure of LiCdPd3.

Geometry as CIF:
```
data_LiCdPd3
_chemical_formula_sum 'Li2 Cd2 Pd6'
_space_group_name_H-M_alt 'P 1'
_space_group_IT_number 1
_cell_length_a 4.543
_cell_length_b 5.661
_cell_length_c 6.788
_cell_angle_alpha 90.00
_cell_angle_beta 109.47
_cell_angle_gamma 90.00
loop_
_space_group_symop_operation_xyz
'x,y,z'
loop_
_atom_site_label
_atom_site_fract_x
_atom_site_fract_y
_atom_site_fract_z
_atom_site_occupancy
Li1 0.127 0.250 0.255 1
Li2 0.873 0.750 0.745 1
Cd1 0.119 0.750 0.238 1
Cd2 0.881 0.250 0.762 1
Pd1 0.313 0.501 0.627 1
Pd2 0.313 0.999 0.627 1
Pd3 0.498 0.750 0.994 1
Pd4 0.502 0.250 0.006 1
Pd5 0.687 0.001 0.373 1
Pd6 0.687 0.499 0.373 1
```

---

--- Q ---
Density functional theory data (GGA-PBE) for a relaxed structure of LiCdPd3.

Geometry as CIF:
```
data_LiCdPd3
_chemical_formula_sum 'Li1 Cd1 Pd3'
_space_group_name_H-M_alt 'P 1'
_space_group_IT_number 1
_cell_length_a 4.318
_cell_length_b 4.318
_cell_length_c 4.318
_cell_angle_alpha 90.00
_cell_angle_beta 90.00
_cell_angle_gamma 90.00
loop_
_space_group_symop_operation_xyz
'x,y,z'
loop_
_atom_site_label
_atom_site_fract_x
_atom_site_fract_y
_atom_site_fract_z
_atom_site_occupancy
Li1 0.000 0.000 0.000 1
Cd1 0.500 0.500 0.500 1
Pd1 0.000 0.000 0.500 1
Pd2 0.000 0.500 0.000 1
Pd3 0.500 0.000 0.000 1
```

---

Of them, Q has the lowest stability.

---

--- P ---
Density functional theory data (GGA-PBE) for a relaxed structure of Li7CdPd3.

Geometry as CIF:
```
data_Li7CdPd3
_chemical_formula_sum 'Li7 Cd1 Pd3'
_space_group_name_H-M_alt 'P 1'
_space_group_IT_number 1
_cell_length_a 6.603
_cell_length_b 6.603
_cell_length_c 4.732
_cell_angle_alpha 110.50
_cell_angle_beta 110.50
_cell_angle_gamma 88.03
loop_
_space_group_symop_operation_xyz
'x,y,z'
loop_
_atom_site_label
_atom_site_fract_x
_atom_site_fract_y
_atom_site_fract_z
_atom_site_occupancy
Li1 0.000 0.000 0.000 1
Li2 0.107 0.543 0.325 1
Li3 0.336 0.336 0.839 1
Li4 0.457 0.893 0.675 1
Li5 0.543 0.107 0.325 1
Li6 0.664 0.664 0.161 1
Li7 0.893 0.457 0.675 1
Cd1 0.000 0.000 0.500 1
Pd1 0.268 0.732 0.000 1
Pd2 0.500 0.500 0.500 1
Pd3 0.732 0.268 0.000 1
```

---

--- Q ---
Density functional theory data (GGA-PBE) for a relaxed structure of Li7CdPd3.

Geometry as CIF:
```
data_Li7CdPd3
_chemical_formula_sum 'Li14 Cd2 Pd6'
_space_group_name_H-M_alt 'P 1'
_space_group_IT_number 1
_cell_length_a 10.910
_cell_length_b 10.910
_cell_length_c 11.288
_cell_angle_alpha 90.00
_cell_angle_beta 90.00
_cell_angle_gamma 164.93
loop_
_space_group_symop_operation_xyz
'x,y,z'
loop_
_atom_site_label
_atom_site_fract_x
_atom_site_fract_y
_atom_site_fract_z
_atom_site_occupancy
Li1 0.011 0.989 0.610 1
Li2 0.011 0.989 0.890 1
Li3 0.097 0.903 0.250 1
Li4 0.169 0.831 0.585 1
Li5 0.169 0.831 0.915 1
Li6 0.303 0.697 0.624 1
Li7 0.303 0.697 0.876 1
Li8 0.697 0.303 0.124 1
Li9 0.697 0.303 0.376 1
Li10 0.831 0.169 0.085 1
Li11 0.831 0.169 0.415 1
Li12 0.903 0.097 0.750 1
Li13 0.989 0.011 0.110 1
Li14 0.989 0.011 0.390 1
Cd1 0.405 0.595 0.250 1
Cd2 0.595 0.405 0.750 1
Pd1 0.274 0.726 0.250 1
Pd2 0.413 0.587 0.534 1
Pd3 0.413 0.587 0.966 1
Pd4 0.587 0.413 0.034 1
Pd5 0.587 0.413 0.466 1
Pd6 0.726 0.274 0.750 1
```

---

Of them, P has the lowest stability.